A plane-wave DFT calculation with GGA-PBE was carried out for a geometry-optimized Ho3IrPb2 structure.

Properties
DOS(E_F) (states/eV per cell): 6.3
E above lowest polymorph (meV/atom): 104
Spin magnetization (Bohr magnetons per cell): 0.000

a b c (Å): 8.1087 8.1087 7.1327
angles (deg): 104.57 104.57 45.05
Atoms (fractional coordinates):
Ho 0.1611 0.8389 0.7500
Ho 0.2910 0.4200 0.4008
Ho 0.4200 0.2910 0.9008
Ho 0.5800 0.7090 0.0992
Ho 0.7090 0.5800 0.5992
Ho 0.8389 0.1611 0.2500
Ir 0.3805 0.6195 0.2500
Ir 0.6195 0.3805 0.7500
Pb 0.0940 0.2388 0.0373
Pb 0.2388 0.0940 0.5373
Pb 0.7612 0.9060 0.4627
Pb 0.9060 0.7612 0.9627